ScZn2Mo | meta-GGA SCAN | single point on PBEsol structure

The structure belongs to space group Fm-3m (No. 225); the cell edges are 6.306, 6.306 and 6.306 Å and the angles 90.00°, 90.00° and 90.00°. The asymmetric unit holds Sc at (0.000, 0.000, 0.000), Zn at (0.250, 0.250, 0.250) and Mo at (0.000, 0.000, 0.500).

The energy above the most stable polymorph in this dataset is 0 kJ/mol of formula units. As for the raw total energy: -19.064 eV per atom. For the total magnetization, the calculation gives 1.03 μB per formula unit. The value obtained for the formation energy is -0.1 eV per formula unit.